(1)
This record from Alexandria via LeMat-Bulk describes a relaxed PuCoI6 crystal. The functional is PBE-GGA.

Cell and atoms, written as CIF:
```
data_PuCoI6
_chemical_formula_sum 'Pu2 Co2 I12'
_symmetry_space_group_name_H-M 'C 1 2/m 1'
_symmetry_Int_Tables_number 12
_symmetry_space_group_name_Hall '-C 2y'
_cell_length_a 7.2090
_cell_length_b 13.5392
_cell_length_c 7.1992
_cell_angle_alpha 90.00
_cell_angle_beta 108.94
_cell_angle_gamma 90.00
loop_
_atom_site_label
_atom_site_type_symbol
_atom_site_fract_x
_atom_site_fract_y
_atom_site_fract_z
Pu1 Pu 0.0000 0.0000 0.0000
Co1 Co 0.0000 0.5000 0.5000
I1 I 0.2134 0.3584 0.7171
I2 I 0.2502 0.0000 0.7458
```

Density of states at the Fermi level   1.745 states/eV/atom
Formation energy from raw total energies   -475 meV per atom

***

(2)
This record from Alexandria via LeMat-Bulk describes a relaxed Ta3Co6P5 crystal. The functional is PBE-GGA.

Cell and atoms, written as CIF:
```
data_Ta3Co6P5
_chemical_formula_sum 'Ta6 Co12 P10'
_symmetry_space_group_name_H-M 'P m m n'
_symmetry_Int_Tables_number 59
_cell_length_a 3.4821
_cell_length_b 11.1270
_cell_length_c 8.8969
_cell_angle_alpha 90.00
_cell_angle_beta 90.00
_cell_angle_gamma 90.00
loop_
_symmetry_equiv_pos_as_xyz
'x,y,z'
'-x,-y,-z'
'-x+1/2,-y+1/2,z'
'x+1/2,y+1/2,-z'
'x+1/2,-y,-z'
'-x+1/2,y,z'
'-x,y+1/2,-z'
'x,-y+1/2,z'
loop_
_atom_site_label
_atom_site_type_symbol
_atom_site_fract_x
_atom_site_fract_y
_atom_site_fract_z
Ta1 Ta 0.2500 0.1042 0.2386
Ta2 Ta 0.2500 0.7500 0.2748
Co1 Co 0.2500 0.0576 0.6017
Co2 Co 0.2500 0.2500 0.4789
Co3 Co 0.2500 0.2500 0.9678
Co4 Co 0.2500 0.5819 0.0100
P1 P 0.2500 0.0766 0.8409
P2 P 0.2500 0.6304 0.5389
P3 P 0.2500 0.7500 0.8669
```

Formation energy from the elements   -0.68 eV per atom
Density of states at the Fermi level   0.585 states/eV/atom

***

(3)
This record from Alexandria via LeMat-Bulk describes a relaxed Li2SiS crystal. The functional is PBE-GGA.

Cell and atoms, written as CIF:
```
data_Li2SiS
_chemical_formula_sum 'Li4 Si2 S2'
_symmetry_space_group_name_H-M 'P 3 m 1'
_symmetry_Int_Tables_number 156
_symmetry_space_group_name_Hall 'P 3 -2"'
_cell_length_a 3.9603
_cell_length_b 3.9603
_cell_length_c 10.0762
_cell_angle_alpha 90.00
_cell_angle_beta 90.00
_cell_angle_gamma 120.00
loop_
_atom_site_label
_atom_site_type_symbol
_atom_site_fract_x
_atom_site_fract_y
_atom_site_fract_z
Li1 Li 0.0000 0.0000 0.0000
Li2 Li 0.0000 0.0000 0.4944
Li3 Li 0.3333 0.6667 0.6502
Li4 Li 0.6667 0.3333 0.8151
Si1 Si 0.3333 0.6667 0.3566
Si2 Si 0.6667 0.3333 0.2709
S1 S 0.0000 0.0000 0.7329
S2 S 0.6667 0.3333 0.0556
```

Formation energy from raw total energies   -819 meV per atom

***

(4)
This record from Alexandria via LeMat-Bulk describes a relaxed Th6ReSn2 crystal. The functional is PBE-GGA.

Cell and atoms, written as CIF:
```
data_Th6ReSn2
_chemical_formula_sum 'Th6 Re1 Sn2'
_symmetry_space_group_name_H-M 'P -6 2 m'
_symmetry_Int_Tables_number 189
_symmetry_space_group_name_Hall 'P -6 -2'
_cell_length_a 8.6697
_cell_length_b 8.6697
_cell_length_c 4.0558
_cell_angle_alpha 90.00
_cell_angle_beta 90.00
_cell_angle_gamma 120.00
loop_
_atom_site_label
_atom_site_type_symbol
_atom_site_fract_x
_atom_site_fract_y
_atom_site_fract_z
Th1 Th 0.0000 0.2451 0.0000
Th2 Th 0.0000 0.5988 0.5000
Re1 Re 0.0000 0.0000 0.5000
Sn1 Sn 0.3333 0.6667 0.0000
```

Formation energy from the elements   -0.33 eV per atom
Density of states at the Fermi level   1.030 states/eV/atom

***

(5)
This record from Alexandria via LeMat-Bulk describes a relaxed NdHf2Zn9 crystal. The functional is PBE-GGA.

Cell and atoms, written as CIF:
```
data_NdHf2Zn9
_chemical_formula_sum 'Nd3 Hf6 Zn27'
_symmetry_space_group_name_H-M 'R -3 m'
_symmetry_Int_Tables_number 166
_symmetry_space_group_name_Hall '-R 3 2"'
_cell_length_a 5.3019
_cell_length_b 5.3019
_cell_length_c 25.2625
_cell_angle_alpha 90.00
_cell_angle_beta 90.00
_cell_angle_gamma 120.00
loop_
_atom_site_label
_atom_site_type_symbol
_atom_site_fract_x
_atom_site_fract_y
_atom_site_fract_z
Nd1 Nd 0.0000 0.0000 0.0000
Hf1 Hf 0.0000 0.0000 0.1448
Zn1 Zn 0.0000 0.0000 0.3356
Zn2 Zn 0.0000 0.0000 0.5000
Zn3 Zn 0.0084 0.5042 0.9136
```

Formation energy from the elements   -0.25 eV per atom
Density of states at the Fermi level   0.698 states/eV/atom

***

(6)
This record from Alexandria via LeMat-Bulk describes a relaxed Ca2BeC crystal. The functional is PBE-GGA.

Cell and atoms, written as CIF:
```
data_Ca2BeC
_chemical_formula_sum 'Ca8 Be4 C4'
_symmetry_space_group_name_H-M 'F m -3 m'
_symmetry_Int_Tables_number 225
_symmetry_space_group_name_Hall '-F 4 2 3'
_cell_length_a 6.5691
_cell_length_b 6.5691
_cell_length_c 6.5691
_cell_angle_alpha 90.00
_cell_angle_beta 90.00
_cell_angle_gamma 90.00
loop_
_atom_site_label
_atom_site_type_symbol
_atom_site_fract_x
_atom_site_fract_y
_atom_site_fract_z
Ca1 Ca 0.2500 0.2500 0.2500
Be1 Be 0.0000 0.0000 0.0000
C1 C 0.0000 0.0000 0.5000
```

Formation energy from the elements   0.80 eV per atom
Density of states at the Fermi level   0.067 states/eV/atom

***

Total magnetization: 5.4 1.3 0.0 0.0 1.5 0.0 (μB per formula unit)